# K2PaGeTe4

A geometry-optimized K2PaGeTe4 structure (PBE, the Alexandria database).

```
8
Lattice="-0.9784 -1.6788 4.0600 5.3650 -5.6533 -1.0447 3.9472 6.5826 3.6731" Properties=species:S:1:pos:R:3 pbc="T T T"
K 1.4844 2.4519 3.8666
K 4.6561 0.4647 1.3142
Pa 2.1933 -3.6660 1.5077
Ge 0.0000 0.0000 0.0000
Te 1.5514 -0.8491 2.5178
Te 6.7825 0.0997 4.1707
Te 4.5383 3.7588 2.6479
Te 4.7740 -2.8295 -0.0195
```

- DOS at the Fermi energy: 6.230 states/eV/f.u.
- Formation energy without anion corrections: -0.779 eV per atom


# KGePb

A geometry-optimized KGePb structure (PBE, the Alexandria database).

```
6
Lattice="3.9229 0.0000 0.0000 0.0000 6.6612 -1.4853 0.0000 -2.6718 8.3459" Properties=species:S:1:pos:R:3 pbc="T T T"
Ge 2.9422 4.4038 2.7541
Ge 0.9807 -0.4145 4.1065
Pb 2.9422 -0.3433 6.4746
Pb 0.9807 4.3326 0.3859
K 2.9422 1.0855 1.7343
K 0.9807 2.9039 5.1263
```

- DOS at the Fermi energy: 1.295 states/eV/f.u.
- E above lowest polymorph: 57 meV/atom